No. 1
# Pr2Zn16Au PBE-GGA optimized geometry
# Total magnetic moment: 0.00 μB per atom
# Calculated volume: 16.78 Å³ per atom
# Crystal system: trigonal
# VASP energy: -2.03 eV per atom
# ΔE_f: -0.28 eV per atom
# Space-group type: R3m
data_Pr2Zn16Au
_chemical_formula_sum 'Pr2 Zn16 Au1'
_space_group_name_H-M_alt 'P 1'
_space_group_IT_number 1
_cell_length_a 6.884
_cell_length_b 6.884
_cell_length_c 6.884
_cell_angle_alpha 82.68
_cell_angle_beta 82.68
_cell_angle_gamma 82.68
loop_
_space_group_symop_operation_xyz
'x,y,z'
loop_
_atom_site_label
_atom_site_fract_x
_atom_site_fract_y
_atom_site_fract_z
Zn1 0.001 0.498 0.001
Zn2 0.649 0.162 0.649
Zn3 0.649 0.649 0.162
Zn4 0.293 0.707 0.000
Zn5 0.498 0.001 0.001
Zn6 0.000 0.707 0.293
Zn7 0.707 0.293 0.000
Zn8 0.162 0.649 0.649
Zn9 0.351 0.351 0.838
Zn10 0.001 0.001 0.498
Zn11 0.102 0.102 0.102
Zn12 0.707 0.000 0.293
Zn13 0.293 0.000 0.707
Zn14 0.351 0.838 0.351
Zn15 0.000 0.293 0.707
Zn16 0.838 0.351 0.351
Pr1 0.663 0.663 0.663
Pr2 0.337 0.337 0.337
Au1 0.900 0.900 0.900

---

No. 2
# ThReB3 PBE-GGA optimized geometry
# Total magnetic moment: 0.00 μB per atom
# Calculated volume: 13.84 Å³ per atom
# Crystal system: trigonal
# VASP energy: -8.33 eV per atom
# ΔE_f: -0.35 eV per atom
# Space-group type: R3m
data_ThReB3
_chemical_formula_sum 'Th1 Re1 B3'
_space_group_name_H-M_alt 'P 1'
_space_group_IT_number 1
_cell_length_a 4.174
_cell_length_b 4.174
_cell_length_c 4.174
_cell_angle_alpha 100.95
_cell_angle_beta 100.95
_cell_angle_gamma 79.05
loop_
_space_group_symop_operation_xyz
'x,y,z'
loop_
_atom_site_label
_atom_site_fract_x
_atom_site_fract_y
_atom_site_fract_z
B1 0.213 0.876 0.322
B2 0.876 0.876 0.985
B3 0.876 0.213 0.322
Th1 0.284 0.284 0.914
Re1 0.749 0.749 0.450